This record from the Alexandria database describes a relaxed TbPr5Th2 crystal. The functional is PBE.

Calculated values
Fermi-level density of states ... 12.3 states/eV/f.u.
Volume ... 34.86 Å³/atom
Final energy ... -5.31 eV per atom
Formation energy ... 0.109 eV per atom
Total magnetization ... 0.00 μB per cell
SG ... Immm (71)

Lattice parameters (Å, degrees): 3.582 11.514 13.520 90.00 90.00 90.00
Fractional positions:
Tb (0.000, 0.000, 0.000)
Tb (0.500, 0.500, 0.500)
Pr (0.000, 0.239, 0.370)
Pr (0.000, 0.239, 0.630)
Pr (0.000, 0.500, 0.000)
Pr (0.000, 0.761, 0.370)
Pr (0.000, 0.761, 0.630)
Pr (0.500, 0.000, 0.500)
Pr (0.500, 0.261, 0.130)
Pr (0.500, 0.261, 0.870)
Pr (0.500, 0.739, 0.130)
Pr (0.500, 0.739, 0.870)
Th (0.000, 0.500, 0.258)
Th (0.000, 0.500, 0.742)
Th (0.500, 0.000, 0.242)
Th (0.500, 0.000, 0.758)

=====

This record from the Alexandria database describes a relaxed La5Ho6Tm crystal. The functional is PBE.

Calculated values
Fermi-level density of states ... 18.3 states/eV/f.u.
Volume ... 33.42 Å³/atom
Final energy ... -4.68 eV per atom
Formation energy ... 0.030 eV per atom
Total magnetization ... 0.00 μB per cell
SG ... C2/m (12)

Lattice parameters (Å, degrees): 9.592 9.592 6.184 91.79 91.79 44.85
Fractional positions:
La (0.000, 0.000, 0.000)
La (0.167, 0.167, 0.666)
La (0.336, 0.336, 0.329)
La (0.664, 0.664, 0.671)
La (0.833, 0.833, 0.334)
Ho (0.086, 0.584, 0.831)
Ho (0.252, 0.748, 0.500)
Ho (0.416, 0.914, 0.169)
Ho (0.584, 0.086, 0.831)
Ho (0.748, 0.252, 0.500)
Ho (0.914, 0.416, 0.169)
Tm (0.500, 0.500, 0.000)

=====

This record from the Alexandria database describes a relaxed Ho2ErTeO8 crystal. The functional is PBE.

Calculated values
Fermi-level density of states ... 8.1 states/eV/f.u.
Volume ... 14.28 Å³/atom
Final energy ... -7.25 eV per atom
E_form (uncorrected) ... -30.42 eV per formula unit
Total magnetization ... 0.68 μB per cell
SG ... Cmmm (65)

Lattice parameters (Å, degrees): 5.016 5.016 6.814 90.00 90.00 90.95
Fractional positions:
Ho (0.000, 0.000, 0.249)
Ho (0.000, 0.000, 0.751)
Er (0.500, 0.500, 0.500)
Te (0.500, 0.500, 0.000)
O (0.192, 0.192, 0.500)
O (0.224, 0.224, 0.000)
O (0.317, 0.683, 0.214)
O (0.317, 0.683, 0.786)
O (0.683, 0.317, 0.214)
O (0.683, 0.317, 0.786)
O (0.776, 0.776, 0.000)
O (0.808, 0.808, 0.500)